DFT (GGA-PBE) results for La3Te3O after structural relaxation.

```
data_La3Te3O
_space_group_name_H-M_alt 'C 1 2/m 1'
_space_group_IT_number 12
_cell_length_a 8.895
_cell_length_b 12.942
_cell_length_c 7.773
_cell_angle_alpha 90.00
_cell_angle_beta 101.52
_cell_angle_gamma 90.00
loop_
_space_group_symop_operation_xyz
'x,y,z'
'-x,-y,-z'
'-x,y,-z'
'x,-y,z'
'x+1/2,y+1/2,z'
'-x+1/2,-y+1/2,-z'
'-x+1/2,y+1/2,-z'
'x+1/2,-y+1/2,z'
loop_
_atom_site_label
_atom_site_type_symbol
_atom_site_fract_x
_atom_site_fract_y
_atom_site_fract_z
_atom_site_occupancy
La1 La 0.098 0.000 0.328 1
La2 La 0.199 0.354 0.211 1
Te1 Te 0.000 0.162 0.000 1
Te2 Te 0.000 0.242 0.500 1
Te3 Te 0.109 0.500 0.841 1
O1 O 0.174 0.000 0.640 1
```

Output
* energy above the most stable polymorph in this dataset: 39.1 meV/atom
* uncorrected formation energy: -1.99 eV per atom
* final energy: -6.152 eV per atom
* DOS(E_F): 0.664 states/eV/atom

---

DFT (GGA-PBE) results for La3TeO after structural relaxation.

```
data_La3TeO
_space_group_name_H-M_alt 'P m -3 m'
_space_group_IT_number 221
_space_group_name_Hall '-P 4 2 3'
_cell_length_a 5.024
_cell_length_b 5.024
_cell_length_c 5.024
_cell_angle_alpha 90.00
_cell_angle_beta 90.00
_cell_angle_gamma 90.00
loop_
_atom_site_label
_atom_site_type_symbol
_atom_site_fract_x
_atom_site_fract_y
_atom_site_fract_z
_atom_site_occupancy
La1 La 0.000 0.000 0.500 1
Te1 Te 0.500 0.500 0.500 1
O1 O 0.000 0.000 0.000 1
```

Output
* energy above the most stable polymorph in this dataset: 0.0 meV/atom
* uncorrected formation energy: -1.60 eV per atom
* final energy: -6.172 eV per atom
* DOS(E_F): 1.348 states/eV/atom

---

DFT (GGA-PBE) results for LaTeO4 after structural relaxation.

```
data_LaTeO4
_space_group_name_H-M_alt 'I -4'
_space_group_IT_number 82
_cell_length_a 7.360
_cell_length_b 7.360
_cell_length_c 3.461
_cell_angle_alpha 90.00
_cell_angle_beta 90.00
_cell_angle_gamma 90.00
loop_
_space_group_symop_operation_xyz
'x,y,z'
'y,-x,-z'
'-x,-y,z'
'-y,x,-z'
'x+1/2,y+1/2,z+1/2'
'y+1/2,-x+1/2,-z+1/2'
'-x+1/2,-y+1/2,z+1/2'
'-y+1/2,x+1/2,-z+1/2'
loop_
_atom_site_label
_atom_site_type_symbol
_atom_site_fract_x
_atom_site_fract_y
_atom_site_fract_z
_atom_site_occupancy
La1 La 0.000 0.000 0.000 1
Te1 Te 0.000 0.500 0.750 1
O1 O 0.036 0.257 0.537 1
```

Output
* energy above the most stable polymorph in this dataset: 294.0 meV/atom
* uncorrected formation energy: -1.70 eV per atom
* final energy: -6.352 eV per atom
* DOS(E_F): 0.578 states/eV/atom